PBE-GGA SiPRh2, optimized geometry; calculated volume = 54.6 Å³ per cell; SG = No. 99; final energy = -6.97 eV per atom; crystal system = tetragonal; formation energy without anion corrections = -0.589 eV/atom; density of states at the Fermi level = 0.453 states/eV per atom
1.0
-1.860 2.026 -1.821
-2.478 -2.176 0.110
-1.724 2.174 4.180
P Rh Si
1 2 1
direct
0.500 0.500 0.793
0.500 0.500 0.306
0.000 0.000 0.940
0.000 0.000 0.461


PBE-GGA BaSrAu, optimized geometry; calculated volume = 139.9 Å³ per cell; formation energy = -508 meV/atom; SG = No. 156; final energy = -2.80 eV per atom; crystal system = trigonal; density of states at the Fermi level = 0.959 states/eV per atom; energy relative to the lowest polymorph listed for this composition = 7.5 meV/atom
1.0
-3.220 -3.132 -1.305
2.251 -0.516 4.068
-5.227 3.959 3.394
Sr Au Ba
1 1 1
direct
0.333 0.667 0.769
0.000 0.000 0.990
0.667 0.333 0.241


PBE-GGA Ce3SmSb4, optimized geometry; calculated volume = 256.5 Å³ per cell; SG = No. 65; final energy = -5.95 eV per atom; crystal system = orthorhombic; formation energy without anion corrections = -1.076 eV/atom; density of states at the Fermi level = 2.597 states/eV per atom; energy relative to the lowest polymorph listed for this composition = 0.0 meV/atom
1.0
-2.299 -1.906 -3.361
3.319 -6.848 1.613
-6.578 0.722 4.090
Ce Sb Sm
3 4 1
direct
0.000 0.000 0.500
0.000 0.500 0.000
0.500 0.500 0.500
0.500 0.750 0.250
0.500 0.250 0.750
0.000 0.750 0.750
0.000 0.250 0.250
0.500 0.000 0.000


PBE-GGA SmErNiRh, optimized geometry; calculated volume = 84.3 Å³ per cell; formation energy = -622 meV/atom; SG = No. 38; final energy = -6.23 eV per atom; crystal system = orthorhombic; density of states at the Fermi level = 0.613 states/eV per atom
1.0
3.837 0.000 0.000
0.000 4.119 0.000
-1.918 0.000 5.334
Rh Ni Er Sm
1 1 1 1
direct
0.419 0.000 0.838
0.576 0.500 0.153
0.861 0.500 0.723
0.143 0.000 0.286


PBE-GGA La2Pr4Ho5, optimized geometry; calculated volume = 386.6 Å³ per cell; formation energy = 244 meV/atom; SG = No. 71; final energy = -4.47 eV per atom; crystal system = orthorhombic; density of states at the Fermi level = 1.458 states/eV per atom; energy relative to the lowest polymorph listed for this composition = 148.2 meV/atom
1.0
3.547 0.000 0.000
0.000 9.319 0.000
-1.773 -4.659 11.698
Pr La Ho
4 2 5
direct
0.000 0.704 0.000
0.597 0.597 0.195
0.403 0.403 0.805
0.000 0.296 0.000
0.268 0.268 0.536
0.732 0.732 0.464
0.500 0.000 0.000
0.859 0.049 0.718
0.859 0.670 0.718
0.141 0.951 0.282
0.141 0.330 0.282


PBE-GGA MgBePt, optimized geometry; calculated volume = 42.6 Å³ per cell; formation energy = -556 meV/atom; SG = No. 187; final energy = -4.34 eV per atom; crystal system = hexagonal; density of states at the Fermi level = 0.481 states/eV per atom; energy relative to the lowest polymorph listed for this composition = 112.9 meV/atom
1.0
-1.810 -0.855 3.546
4.058 0.270 -0.201
-0.162 2.899 0.617
Pt Be Mg
1 1 1
direct
0.333 0.667 0.834
0.000 0.000 0.833
0.667 0.333 0.333


PBE-GGA ScMnIn2, optimized geometry; calculated volume = 84.5 Å³ per cell; formation energy = -12 meV/atom; SG = No. 12; final energy = -5.26 eV per atom; crystal system = monoclinic; density of states at the Fermi level = 0.733 states/eV per atom
1.0
-2.564 -3.583 -2.610
-1.690 -4.803 0.546
-5.047 0.318 1.521
Mn In Sc
1 2 1
direct
0.750 0.750 0.750
0.013 0.013 0.977
0.487 0.487 0.523
0.250 0.250 0.250


PBE-GGA PrDy6Al, optimized geometry; calculated volume = 249.2 Å³ per cell; formation energy = 244 meV/atom; SG = No. 12; final energy = -4.27 eV per atom; crystal system = monoclinic; density of states at the Fermi level = 1.391 states/eV per atom
1.0
-0.469 5.824 3.725
1.030 -0.108 6.823
6.413 0.981 2.537
Dy Pr Al
6 1 1
direct
0.257 0.502 0.438
0.743 0.060 0.438
0.257 0.940 0.562
0.736 0.735 0.000
0.264 0.265 0.000
0.743 0.498 0.562
0.000 0.000 0.000
0.500 0.500 0.000